Run a
PBE BaNd2Ga6, optimized geometry; Fermi-level density of states = 0.53 states/eV/atom
1.0
7.539 0.000 0.000
-3.770 6.529 0.000
0.000 0.000 4.528
Ba Nd Ga
1 2 6
Cartesian
0.000 0.000 0.000
0.000 4.353 0.000
3.770 2.176 0.000
-1.277 2.211 2.264
-2.493 4.318 2.264
2.553 0.000 2.264
1.277 2.211 2.264
4.986 0.000 2.264
2.493 4.318 2.264

=====

Run b
PBE BaNd2Ga6, optimized geometry; Fermi-level density of states = 0.16 states/eV/atom
1.0
-2.314 3.898 6.514
2.314 -3.898 6.514
2.314 3.898 -6.514
Ba Nd Ga
1 2 6
Cartesian
0.000 0.000 0.000
2.314 0.000 4.829
0.000 3.898 1.685
2.314 1.616 -2.401
2.314 2.600 0.000
2.314 1.616 2.401
0.000 2.282 4.114
0.000 1.298 6.514
0.000 2.282 8.915

=====

Most stable to least stable, the ends of the list are run a and run b.